# 1
# KTlSiH6 | the Alexandria database | GGA-PBE | optimized geometry
# Magnetic moment in μB per atom: 0.000
data_KTlSiH6
_chemical_formula_sum 'K1 Tl1 Si1 H6'
_cell_length_a 5.7241
_cell_length_b 5.7241
_cell_length_c 4.4476
_cell_angle_alpha 90.00
_cell_angle_beta 90.00
_cell_angle_gamma 120.00
_space_group_name_H-M_alt 'P 3 1 2'
_space_group_IT_number 149
_space_group_name_Hall 'P 3 2'
loop_
_atom_site_label
_atom_site_type_symbol
_atom_site_fract_x
_atom_site_fract_y
_atom_site_fract_z
_atom_site_occupancy
K1 K 0.0000 0.0000 0.0000 1
Tl1 Tl 0.6667 0.3333 0.5000 1
Si1 Si 0.3333 0.6667 0.0000 1
H1 H 0.1019 0.4419 0.2132 1


# 2
# Li2TaP | the Alexandria database | GGA-PBE | optimized geometry
# ΔE_f in meV/atom: -3
# Magnetic moment in μB per atom: 0.000
# DOS at the Fermi energy in states/eV/atom: 0.722
data_Li2TaP
_chemical_formula_sum 'Li2 Ta1 P1'
_cell_length_a 2.831
_cell_length_b 4.112
_cell_length_c 5.077
_cell_angle_alpha 90.00
_cell_angle_beta 90.00
_cell_angle_gamma 90.00
_space_group_name_H-M_alt 'P m m m'
_space_group_IT_number 47
_space_group_name_Hall '-P 2 2'
loop_
_atom_site_label
_atom_site_type_symbol
_atom_site_fract_x
_atom_site_fract_y
_atom_site_fract_z
_atom_site_occupancy
Li1 Li 0.000 0.000 0.229 1
Ta1 Ta 0.500 0.500 0.500 1
P1 P 0.500 0.500 0.000 1


# 3
# LiTlGaPb2 | the Alexandria database | GGA-PBE | optimized geometry
# ΔE_f in meV/atom: 156
# Magnetic moment in μB per atom: 0.000
# DOS at the Fermi energy in states/eV/atom: 0.449
data_LiTlGaPb2
_chemical_formula_sum 'Li1 Tl1 Ga1 Pb2'
_cell_length_a 5.568
_cell_length_b 5.568
_cell_length_c 5.002
_cell_angle_alpha 90.00
_cell_angle_beta 90.00
_cell_angle_gamma 90.00
_space_group_name_H-M_alt 'P 4/m m m'
_space_group_IT_number 123
_space_group_name_Hall '-P 4 2'
loop_
_atom_site_label
_atom_site_type_symbol
_atom_site_fract_x
_atom_site_fract_y
_atom_site_fract_z
_atom_site_occupancy
Li1 Li 0.000 0.000 0.000 1
Tl1 Tl 0.500 0.500 0.000 1
Ga1 Ga 0.000 0.000 0.500 1
Pb1 Pb 0.000 0.500 0.500 1


# 4
# PrEr2Sc | the Alexandria database | GGA-PBE | optimized geometry
# Offset from the most stable computed form in kJ/mol of formula units: 8
# ΔE_f in meV/atom: 51
# Magnetic moment in μB per atom: 0.000
# DOS at the Fermi energy in states/eV/atom: 1.467
data_PrEr2Sc
_chemical_formula_sum 'Pr3 Er6 Sc3'
_cell_length_a 3.5126
_cell_length_b 3.5126
_cell_length_c 34.0346
_cell_angle_alpha 90.00
_cell_angle_beta 90.00
_cell_angle_gamma 120.00
_space_group_name_H-M_alt 'R -3 m'
_space_group_IT_number 166
_space_group_name_Hall '-R 3 2"'
loop_
_atom_site_label
_atom_site_type_symbol
_atom_site_fract_x
_atom_site_fract_y
_atom_site_fract_z
_atom_site_occupancy
Pr1 Pr 0.0000 0.0000 0.0000 1
Er1 Er 0.0000 0.0000 0.2455 1
Sc1 Sc 0.0000 0.0000 0.5000 1


# 5
# LiTl3Pd4 | the Alexandria database | GGA-PBE | optimized geometry
# Offset from the most stable computed form in kJ/mol of formula units: 65
# ΔE_f in meV/atom: -136
# Magnetic moment in μB per atom: 0.000
# DOS at the Fermi energy in states/eV/atom: 0.471
data_LiTl3Pd4
_chemical_formula_sum 'Li2 Tl6 Pd8'
_cell_length_a 5.681
_cell_length_b 9.621
_cell_length_c 5.488
_cell_angle_alpha 90.00
_cell_angle_beta 90.00
_cell_angle_gamma 90.00
_space_group_name_H-M_alt 'I m m 2'
_space_group_IT_number 44
_space_group_name_Hall 'I 2 -2'
loop_
_atom_site_label
_atom_site_type_symbol
_atom_site_fract_x
_atom_site_fract_y
_atom_site_fract_z
_atom_site_occupancy
Li1 Li 0.000 0.000 0.000 1
Tl1 Tl 0.000 0.212 0.348 1
Tl2 Tl 0.000 0.500 0.600 1
Pd1 Pd 0.000 0.250 0.853 1
Pd2 Pd 0.244 0.500 0.110 1


# 6
# TiBe5Cu | the Alexandria database | GGA-PBE | optimized geometry
# ΔE_f in meV/atom: -186
# Magnetic moment in μB per atom: 0.000
# DOS at the Fermi energy in states/eV/atom: 0.538
data_TiBe5Cu
_chemical_formula_sum 'Ti4 Be20 Cu4'
_cell_length_a 7.150
_cell_length_b 4.218
_cell_length_c 8.939
_cell_angle_alpha 90.00
_cell_angle_beta 90.00
_cell_angle_gamma 90.00
_space_group_name_H-M_alt 'P n m a'
_space_group_IT_number 62
_space_group_name_Hall '-P 2ac 2n'
loop_
_atom_site_label
_atom_site_type_symbol
_atom_site_fract_x
_atom_site_fract_y
_atom_site_fract_z
_atom_site_occupancy
Ti1 Ti 0.240 0.250 0.063 1
Be1 Be 0.044 0.750 0.102 1
Be2 Be 0.062 0.004 0.312 1
Be3 Be 0.077 0.250 0.517 1
Be4 Be 0.198 0.250 0.742 1
Cu1 Cu 0.144 0.750 0.861 1


# 7
# HfGa3Ir | the Alexandria database | GGA-PBE | optimized geometry
# Offset from the most stable computed form in kJ/mol of formula units: 834
# ΔE_f in meV/atom: 1376
# Magnetic moment in μB per atom: 0.000
# DOS at the Fermi energy in states/eV/atom: 1.129
data_HfGa3Ir
_chemical_formula_sum 'Hf1 Ga3 Ir1'
_cell_length_a 4.996
_cell_length_b 4.996
_cell_length_c 4.996
_cell_angle_alpha 90.00
_cell_angle_beta 90.00
_cell_angle_gamma 90.00
_space_group_name_H-M_alt 'P m -3 m'
_space_group_IT_number 221
_space_group_name_Hall '-P 4 2 3'
loop_
_atom_site_label
_atom_site_type_symbol
_atom_site_fract_x
_atom_site_fract_y
_atom_site_fract_z
_atom_site_occupancy
Hf1 Hf 0.000 0.000 0.000 1
Ga1 Ga 0.000 0.000 0.500 1
Ir1 Ir 0.500 0.500 0.500 1


# 8
# La2VN | the Alexandria database | GGA-PBE | optimized geometry
# Magnetic moment in μB per atom: 1.182
# DOS at the Fermi energy in states/eV/atom: 1.211
# Formation energy from raw total energies in kJ/mol of atoms: -4.2
data_La2VN
_chemical_formula_sum 'La8 V4 N4'
_cell_length_a 7.197
_cell_length_b 7.197
_cell_length_c 8.504
_cell_angle_alpha 90.00
_cell_angle_beta 90.00
_cell_angle_gamma 90.00
_space_group_name_H-M_alt 'I -4 2 d'
_space_group_IT_number 122
_space_group_name_Hall 'I -4 2bw'
loop_
_atom_site_label
_atom_site_type_symbol
_atom_site_fract_x
_atom_site_fract_y
_atom_site_fract_z
_atom_site_occupancy
La1 La 0.154 0.250 0.125 1
V1 V 0.000 0.000 0.500 1
N1 N 0.000 0.000 0.000 1


# 9
# La2YPa2Ru5 | the Alexandria database | GGA-PBE | optimized geometry
# ΔE_f in meV/atom: -272
# Magnetic moment in μB per atom: 0.000
# DOS at the Fermi energy in states/eV/atom: 1.002
data_La2YPa2Ru5
_chemical_formula_sum 'La4 Y2 Pa4 Ru10'
_cell_length_a 11.245
_cell_length_b 11.245
_cell_length_c 3.458
_cell_angle_alpha 90.00
_cell_angle_beta 90.00
_cell_angle_gamma 90.00
_space_group_name_H-M_alt 'P 4/m b m'
_space_group_IT_number 127
_space_group_name_Hall '-P 4 2ab'
loop_
_atom_site_label
_atom_site_type_symbol
_atom_site_fract_x
_atom_site_fract_y
_atom_site_fract_z
_atom_site_occupancy
La1 La 0.168 0.332 0.000 1
Y1 Y 0.000 0.000 0.000 1
Pa1 Pa 0.145 0.645 0.000 1
Ru1 Ru 0.000 0.500 0.500 1
Ru2 Ru 0.043 0.782 0.500 1


# 10
# Ag2Sn4Pd5 | the Alexandria database | GGA-PBE | optimized geometry
# ΔE_f in meV/atom: -54
# Magnetic moment in μB per atom: 0.000
# DOS at the Fermi energy in states/eV/atom: 0.463
data_Ag2Sn4Pd5
_chemical_formula_sum 'Ag4 Sn8 Pd10'
_cell_length_a 2.978
_cell_length_b 7.202
_cell_length_c 21.951
_cell_angle_alpha 90.00
_cell_angle_beta 90.00
_cell_angle_gamma 90.00
_space_group_name_H-M_alt 'I m m m'
_space_group_IT_number 71
_space_group_name_Hall '-I 2 2'
loop_
_atom_site_label
_atom_site_type_symbol
_atom_site_fract_x
_atom_site_fract_y
_atom_site_fract_z
_atom_site_occupancy
Ag1 Ag 0.000 0.000 0.223 1
Sn1 Sn 0.000 0.000 0.349 1
Sn2 Sn 0.000 0.306 0.000 1
Pd1 Pd 0.000 0.197 0.115 1
Pd2 Pd 0.000 0.500 0.500 1


Number 1: E -28.585 eV/cell. Number 2: E -21.102 eV/cell. Number 3: E -13.946 eV/cell. Number 4: E -60.098 eV/cell. Number 5: E -61.746 eV/cell. Number 6: E -127.698 eV/cell. Number 7: E -21.014 eV/cell. Number 8: E -109.888 eV/cell. Number 9: E -168.819 eV/cell. Number 10: E -96.539 eV/cell.